Entry P
{
  "formula": "Pr2ScIn",
  "functional": "PBE",
  "state": "relaxed",
  "dos_at_fermi_per_ev_cell": 4.993,
  "spacegroup": "No. 123",
  "vol_a3_per_cell": 116,
  "magmom_total_mub_per_atom": 0.000,
  "density_g_cm3": 6.33,
  "lattice_angstrom": [[4.9042, 0.0000, 0.0000], [0.0000, 4.8610, 0.0000], [0.0000, 0.0000, 4.8610]],
  "species": ["In", "Sc", "Pr", "Pr"],
  "fractional_positions": [[0.5000, 0.5000, 0.5000], [0.5000, 0.0000, 0.0000], [0.0000, 0.0000, 0.5000], [0.0000, 0.5000, 0.0000]]
}



Entry Q
{
  "formula": "Pr2ScIn",
  "functional": "PBE",
  "state": "relaxed",
  "dos_at_fermi_per_ev_cell": 6.288,
  "spacegroup": "No. 123",
  "vol_a3_per_cell": 119,
  "magmom_total_mub_per_atom": 0.001,
  "density_g_cm3": 6.16,
  "lattice_angstrom": [[-0.2850, -4.0112, 1.0400], [-0.1271, -1.0335, -4.0210], [6.8766, -0.5108, -0.0860]],
  "species": ["Pr", "In", "Sc", "Pr"],
  "fractional_positions": [[0.0000, 0.0000, 0.2443], [0.5000, 0.5000, 0.0000], [0.5000, 0.5000, 0.5000], [0.0000, 0.0000, 0.7557]]
}



Entry R
{
  "formula": "Pr2ScIn",
  "functional": "PBE",
  "state": "relaxed",
  "dos_at_fermi_per_ev_cell": 5.724,
  "spacegroup": "No. 160",
  "vol_a3_per_cell": 122,
  "magmom_total_mub_per_atom": 0.000,
  "density_g_cm3": 5.99,
  "lattice_angstrom": [[3.5572, 0.0000, 0.0000], [1.7786, 3.0806, 0.0000], [1.7786, 1.0269, 11.1724]],
  "species": ["Pr", "In", "Sc", "Pr"],
  "fractional_positions": [[0.0841, 0.0841, 0.7476], [0.6666, 0.6666, 0.0001], [0.5001, 0.5001, 0.4998], [0.2492, 0.2492, 0.2524]]
}



The relative energies come out as entry P 0.0; entry Q 6.0; entry R 17.3, with values in kJ/mol of atoms.



Entry P
{
  "formula": "PrScIn",
  "functional": "PBE",
  "state": "relaxed",
  "dos_at_fermi_per_ev_cell": 3.938,
  "spacegroup": "No. 156",
  "vol_a3_per_cell": 78,
  "magmom_total_mub_per_atom": 0.000,
  "density_g_cm3": 6.37,
  "lattice_angstrom": [[3.2266, 0.0000, 0.0000], [0.0000, 5.2942, 0.0000], [0.0000, -2.6471, 4.5850]],
  "species": ["Sc", "Pr", "In"],
  "fractional_positions": [[0.1637, 0.0000, 0.0000], [0.1691, 0.3333, 0.6667], [0.6672, 0.6667, 0.3333]]
}



Entry Q
{
  "formula": "PrScIn",
  "functional": "PBE",
  "state": "relaxed",
  "dos_at_fermi_per_ev_cell": 3.086,
  "spacegroup": "No. 107",
  "vol_a3_per_cell": 83,
  "magmom_total_mub_per_atom": 0.000,
  "density_g_cm3": 6.01,
  "lattice_angstrom": [[-0.8020, -1.4109, 3.1248], [-2.2409, -2.2132, -1.5744], [6.4607, -2.6558, -1.5248]],
  "species": ["In", "Sc", "Pr"],
  "fractional_positions": [[0.2706, 0.2706, 0.5412], [0.6333, 0.6333, 0.2665], [0.9462, 0.9462, 0.8923]]
}



The relative energies come out as entry P 18.0; entry Q 0.0, with values in kJ/mol of atoms.



Entry P
{
  "formula": "PrScIn",
  "functional": "PBE",
  "state": "relaxed",
  "dos_at_fermi_per_ev_cell": 6.486,
  "spacegroup": "No. 129",
  "vol_a3_per_cell": 175,
  "magmom_total_mub_per_atom": 0.373,
  "density_g_cm3": 5.71,
  "lattice_angstrom": [[-2.8845, 3.6245, -0.1723], [-0.4287, -0.1218, 4.6140], [6.3235, 5.0668, 0.7213]],
  "species": ["Pr", "In", "In", "Pr", "Sc", "Sc"],
  "fractional_positions": [[0.5000, 0.0000, 0.1524], [0.0000, 0.5000, 0.2555], [0.5000, 0.0000, 0.7445], [0.0000, 0.5000, 0.8476], [0.5000, 0.5000, 0.5000], [0.0000, 0.0000, 0.5000]]
}



Entry Q
{
  "formula": "PrScIn",
  "functional": "PBE",
  "state": "relaxed",
  "dos_at_fermi_per_ev_cell": 8.838,
  "spacegroup": "No. 129",
  "vol_a3_per_cell": 177,
  "magmom_total_mub_per_atom": 0.001,
  "density_g_cm3": 5.66,
  "lattice_angstrom": [[4.6849, 0.0000, 0.0000], [0.0000, 4.6849, 0.0000], [0.0000, 0.0000, 8.0438]],
  "species": ["In", "Sc", "Sc", "Pr", "Pr", "In"],
  "fractional_positions": [[0.0000, 0.0000, 0.0000], [0.0000, 0.5000, 0.7708], [0.5000, 0.0000, 0.2292], [0.5000, 0.0000, 0.6673], [0.0000, 0.5000, 0.3327], [0.5000, 0.5000, 0.0000]]
}



The relative energies come out as entry P 0.0; entry Q 20.2, with values in kJ/mol of atoms.



Entry P
{
  "formula": "Pr3ScIn",
  "functional": "PBE",
  "state": "relaxed",
  "dos_at_fermi_per_ev_cell": 24.943,
  "spacegroup": "No. 15",
  "vol_a3_per_cell": 626,
  "magmom_total_mub_per_atom": 0.000,
  "density_g_cm3": 6.18,
  "lattice_angstrom": [[-9.7542, 2.7150, 0.7518], [-3.2579, -6.8997, 4.0964], [0.7513, 7.4191, 4.4037]],
  "species": ["In", "In", "Pr", "Pr", "Pr", "Sc", "Sc", "Pr", "Sc", "Sc", "Pr", "Pr", "Pr", "In", "Pr", "Pr", "Pr", "In", "Pr", "Pr"],
  "fractional_positions": [[0.0661, 0.3031, 0.2567], [0.4339, 0.7433, 0.6969], [0.9523, 0.2616, 0.6170], [0.6644, 0.9046, 0.5075], [0.1146, 0.9980, 0.8061], [0.7500, 0.1014, 0.8986], [0.2500, 0.4912, 0.5088], [0.4523, 0.6170, 0.2616], [0.2500, 0.8986, 0.1014], [0.7500, 0.5088, 0.4912], [0.1644, 0.5075, 0.9046], [0.8854, 0.0020, 0.1939], [0.6146, 0.8061, 0.9980], [0.9339, 0.6969, 0.7433], [0.5477, 0.3830, 0.7384], [0.3356, 0.0954, 0.4925], [0.0477, 0.7384, 0.3830], [0.5661, 0.2567, 0.3031], [0.8356, 0.4925, 0.0954], [0.3854, 0.1939, 0.0020]]
}



Entry Q
{
  "formula": "Pr3ScIn",
  "functional": "PBE",
  "state": "relaxed",
  "dos_at_fermi_per_ev_cell": 12.644,
  "spacegroup": "No. 63",
  "vol_a3_per_cell": 305,
  "magmom_total_mub_per_atom": 0.000,
  "density_g_cm3": 6.35,
  "lattice_angstrom": [[4.7971, 0.0000, 1.0962], [0.0000, 4.9027, 0.0000], [-0.4167, 0.0000, 12.8671]],
  "species": ["Pr", "Pr", "Pr", "Pr", "Pr", "Sc", "Pr", "In", "In", "Sc"],
  "fractional_positions": [[0.8805, 0.7500, 0.8873], [0.0749, 0.7500, 0.4985], [0.2654, 0.7500, 0.1176], [0.7678, 0.2500, 0.1127], [0.3830, 0.2500, 0.8824], [0.1715, 0.2500, 0.3053], [0.5734, 0.2500, 0.5015], [0.6702, 0.7500, 0.3079], [0.9781, 0.2500, 0.6921], [0.4768, 0.7500, 0.6947]]
}



The relative energies come out as entry P 3.7; entry Q 0.0, with values in kJ/mol of atoms.



Entry P
{
  "formula": "TbPrScIn",
  "functional": "PBE",
  "state": "relaxed",
  "dos_at_fermi_per_ev_cell": 5.995,
  "spacegroup": "No. 216",
  "vol_a3_per_cell": 111,
  "magmom_total_mub_per_atom": 0.468,
  "density_g_cm3": 6.88,
  "lattice_angstrom": [[5.3919, 0.0000, 0.0000], [0.0000, 5.3919, 0.0000], [-2.6959, -2.6959, 3.8156]],
  "species": ["Tb", "Pr", "In", "Sc"],
  "fractional_positions": [[0.7500, 0.2500, 0.5000], [0.0000, 0.0000, 0.0000], [0.5000, 0.5000, 0.0000], [0.2500, 0.7500, 0.5000]]
}



Entry Q
{
  "formula": "TbPrScIn",
  "functional": "PBE",
  "state": "relaxed",
  "dos_at_fermi_per_ev_cell": 4.895,
  "spacegroup": "No. 216",
  "vol_a3_per_cell": 113,
  "magmom_total_mub_per_atom": 0.291,
  "density_g_cm3": 6.73,
  "lattice_angstrom": [[-4.4696, 1.7848, 2.5237], [-4.9093, -1.1752, -2.0125], [-3.2349, -3.5068, 2.6018]],
  "species": ["Pr", "In", "Sc", "Tb"],
  "fractional_positions": [[0.2500, 0.2500, 0.2500], [0.5000, 0.5000, 0.5000], [0.0000, 0.0000, 0.0000], [0.7500, 0.7500, 0.7500]]
}



The relative energies come out as entry P 7.2; entry Q 0.0, with values in kJ/mol of atoms.